Record 1
# PBE KPPt, relaxed
# total DFT energy (no corrections): -0.2137 Ry per atom
data_KPPt
_chemical_formula_sum 'K4 P4 Pt4'
_symmetry_space_group_name_H-M 'F -4 3 m'
_symmetry_Int_Tables_number 216
_symmetry_space_group_name_Hall 'F -4 2 3'
_cell_length_a 6.722
_cell_length_b 6.722
_cell_length_c 6.722
_cell_angle_alpha 90.00
_cell_angle_beta 90.00
_cell_angle_gamma 90.00
loop_
_atom_site_label
_atom_site_fract_x
_atom_site_fract_y
_atom_site_fract_z
K1 0.000 0.000 0.000
P1 0.250 0.250 0.250
Pt1 0.250 0.250 0.750


Record 2
# PBE K2PPt, relaxed
# total DFT energy (no corrections): -0.2386 Ry per atom
data_K2PPt
_chemical_formula_sum 'K2 P1 Pt1'
_symmetry_space_group_name_H-M 'P 1 2/m 1'
_symmetry_Int_Tables_number 10
_symmetry_space_group_name_Hall '-P 2y'
_cell_length_a 3.098
_cell_length_b 5.065
_cell_length_c 5.621
_cell_angle_alpha 90.00
_cell_angle_beta 90.07
_cell_angle_gamma 90.00
loop_
_atom_site_label
_atom_site_fract_x
_atom_site_fract_y
_atom_site_fract_z
K1 0.003 0.000 0.249
P1 0.500 0.500 0.000
Pt1 0.500 0.500 0.500


Record 3
# PBE K2PPt, relaxed
# total DFT energy (no corrections): -0.2386 Ry per atom
data_K2PPt
_chemical_formula_sum 'K4 P2 Pt2'
_symmetry_space_group_name_H-M 'I 4/m m m'
_symmetry_Int_Tables_number 139
_symmetry_space_group_name_Hall '-I 4 2'
_cell_length_a 4.151
_cell_length_b 4.151
_cell_length_c 10.157
_cell_angle_alpha 90.00
_cell_angle_beta 90.00
_cell_angle_gamma 90.00
loop_
_atom_site_label
_atom_site_fract_x
_atom_site_fract_y
_atom_site_fract_z
K1 0.000 0.500 0.250
P1 0.000 0.000 0.000
Pt1 0.000 0.000 0.500


Record 4
# PBE K6P2Pt, relaxed
# total DFT energy (no corrections): -0.1885 Ry per atom
# excess energy over the best structure of this formula in the dataset: 310.3 meV/atom
data_K6P2Pt
_chemical_formula_sum 'K6 P2 Pt1'
_symmetry_space_group_name_H-M 'P -3 m 1'
_symmetry_Int_Tables_number 164
_symmetry_space_group_name_Hall '-P 3 2"'
_cell_length_a 8.5758
_cell_length_b 8.5758
_cell_length_c 5.1920
_cell_angle_alpha 90.00
_cell_angle_beta 90.00
_cell_angle_gamma 120.00
loop_
_atom_site_label
_atom_site_fract_x
_atom_site_fract_y
_atom_site_fract_z
K1 0.1898 0.3796 0.2531
P1 0.3333 0.6667 0.7514
Pt1 0.0000 0.0000 0.0000


Record 5
# PBE KPPt2, relaxed
# total DFT energy (no corrections): -0.3420 Ry per atom
data_KPPt2
_chemical_formula_sum 'K2 P2 Pt4'
_symmetry_space_group_name_H-M 'I m m 2'
_symmetry_Int_Tables_number 44
_symmetry_space_group_name_Hall 'I 2 -2'
_cell_length_a 2.933
_cell_length_b 5.485
_cell_length_c 9.953
_cell_angle_alpha 90.00
_cell_angle_beta 90.00
_cell_angle_gamma 90.00
loop_
_atom_site_label
_atom_site_fract_x
_atom_site_fract_y
_atom_site_fract_z
K1 0.000 0.000 0.000
P1 0.000 0.500 0.780
Pt1 0.000 0.000 0.456
Pt2 0.000 0.500 0.193


Record 6
# PBE KPPt2, relaxed
# total DFT energy (no corrections): -0.3791 Ry per atom
data_KPPt2
_chemical_formula_sum 'K1 P1 Pt2'
_symmetry_space_group_name_H-M 'P 1 m 1'
_symmetry_Int_Tables_number 6
_symmetry_space_group_name_Hall 'P -2y'
_cell_length_a 4.051
_cell_length_b 4.051
_cell_length_c 5.829
_cell_angle_alpha 90.00
_cell_angle_beta 90.09
_cell_angle_gamma 90.00
loop_
_atom_site_label
_atom_site_fract_x
_atom_site_fract_y
_atom_site_fract_z
K1 0.000 0.000 0.000
P1 0.500 0.500 0.661
Pt1 0.500 0.000 0.478
Pt2 0.999 0.500 0.478


Record 7
# PBE KPPt2, relaxed
# total DFT energy (no corrections): -0.3046 Ry per atom
data_KPPt2
_chemical_formula_sum 'K2 P2 Pt4'
_symmetry_space_group_name_H-M 'I 4/m m m'
_symmetry_Int_Tables_number 139
_symmetry_space_group_name_Hall '-I 4 2'
_cell_length_a 4.190
_cell_length_b 4.190
_cell_length_c 8.205
_cell_angle_alpha 90.00
_cell_angle_beta 90.00
_cell_angle_gamma 90.00
loop_
_atom_site_label
_atom_site_fract_x
_atom_site_fract_y
_atom_site_fract_z
K1 0.000 0.000 0.000
P1 0.000 0.000 0.500
Pt1 0.000 0.500 0.250


Record 8
# PBE K2PPt, relaxed
# total DFT energy (no corrections): -0.2385 Ry per atom
data_K2PPt
_chemical_formula_sum 'K4 P2 Pt2'
_symmetry_space_group_name_H-M 'C m m m'
_symmetry_Int_Tables_number 65
_symmetry_space_group_name_Hall '-C 2 2'
_cell_length_a 5.628
_cell_length_b 10.136
_cell_length_c 3.094
_cell_angle_alpha 90.00
_cell_angle_beta 90.00
_cell_angle_gamma 90.00
loop_
_atom_site_label
_atom_site_fract_x
_atom_site_fract_y
_atom_site_fract_z
K1 0.250 0.250 0.000
P1 0.000 0.000 0.500
Pt1 0.000 0.500 0.500


Record 9
# PBE KPPt2, relaxed
# total DFT energy (no corrections): -0.3773 Ry per atom
data_KPPt2
_chemical_formula_sum 'K2 P2 Pt4'
_symmetry_space_group_name_H-M 'I 4 m m'
_symmetry_Int_Tables_number 107
_symmetry_space_group_name_Hall 'I 4 -2'
_cell_length_a 4.062
_cell_length_b 4.062
_cell_length_c 11.784
_cell_angle_alpha 90.00
_cell_angle_beta 90.00
_cell_angle_gamma 90.00
loop_
_atom_site_label
_atom_site_fract_x
_atom_site_fract_y
_atom_site_fract_z
K1 0.000 0.000 0.000
P1 0.000 0.000 0.336
Pt1 0.000 0.500 0.247


Record 10
# PBE K2P2Pt, relaxed
# total DFT energy (no corrections): -0.3025 Ry per atom
data_K2P2Pt
_chemical_formula_sum 'K4 P4 Pt2'
_symmetry_space_group_name_H-M 'C 1 2/m 1'
_symmetry_Int_Tables_number 12
_symmetry_space_group_name_Hall '-C 2y'
_cell_length_a 6.462
_cell_length_b 4.099
_cell_length_c 11.036
_cell_angle_alpha 90.00
_cell_angle_beta 90.43
_cell_angle_gamma 90.00
loop_
_atom_site_label
_atom_site_fract_x
_atom_site_fract_y
_atom_site_fract_z
K1 0.001 0.000 0.304
P1 0.149 0.500 0.912
Pt1 0.000 0.000 0.000


Record 11
# PBE KPPt4, relaxed
# total DFT energy (no corrections): -0.3567 Ry per atom
# excess energy over the best structure of this formula in the dataset: 536.5 meV/atom
data_KPPt4
_chemical_formula_sum 'K4 P4 Pt16'
_symmetry_space_group_name_H-M 'F -4 3 m'
_symmetry_Int_Tables_number 216
_symmetry_space_group_name_Hall 'F -4 2 3'
_cell_length_a 7.627
_cell_length_b 7.627
_cell_length_c 7.627
_cell_angle_alpha 90.00
_cell_angle_beta 90.00
_cell_angle_gamma 90.00
loop_
_atom_site_label
_atom_site_fract_x
_atom_site_fract_y
_atom_site_fract_z
K1 0.000 0.000 0.000
P1 0.250 0.250 0.750
Pt1 0.124 0.124 0.376


Record 12
# PBE K2P2Pt3, relaxed
# total DFT energy (no corrections): -0.3701 Ry per atom
data_K2P2Pt3
_chemical_formula_sum 'K4 P4 Pt6'
_symmetry_space_group_name_H-M 'P 1 21/c 1'
_symmetry_Int_Tables_number 14
_symmetry_space_group_name_Hall '-P 2ybc'
_cell_length_a 6.972
_cell_length_b 6.674
_cell_length_c 7.573
_cell_angle_alpha 90.00
_cell_angle_beta 110.46
_cell_angle_gamma 90.00
loop_
_atom_site_label
_atom_site_fract_x
_atom_site_fract_y
_atom_site_fract_z
K1 0.194 0.100 0.428
P1 0.328 0.627 0.608
Pt1 0.000 0.000 0.000
Pt2 0.429 0.632 0.344


Number 1: formation enthalpy at 0 K 1.2748 eV per atom. Number 2: formation enthalpy at 0 K 0.1644 eV per atom. Number 3: formation enthalpy at 0 K 0.1656 eV per atom. Number 4: formation enthalpy at 0 K 0.0406 eV per atom. Number 5: formation enthalpy at 0 K -0.0054 eV per atom. Number 6: formation enthalpy at 0 K -0.5112 eV per atom. Number 7: formation enthalpy at 0 K 0.5031 eV per atom. Number 8: formation enthalpy at 0 K 0.1659 eV per atom. Number 9: formation enthalpy at 0 K -0.4860 eV per atom. Number 10: formation enthalpy at 0 K -0.3046 eV per atom. Number 11: formation enthalpy at 0 K 0.2593 eV per atom. Number 12: formation enthalpy at 0 K -0.5879 eV per atom.